1.
LiCdPO4: optimized geometry, PBE.

Computed properties:
SG = I-4, No. 82
Excess energy over the best structure of this formula in the dataset = 0 meV per atom
Crystal system = tetragonal

```
data_LiCdPO4
_cell_length_a 5.130
_cell_length_b 5.130
_cell_length_c 5.130
_cell_angle_alpha 121.88
_cell_angle_beta 121.88
_cell_angle_gamma 86.77
_space_group_name_H-M_alt 'P 1'
_space_group_IT_number 1
loop_
_space_group_symop_operation_xyz
'x,y,z'
loop_
_atom_site_label
_atom_site_type_symbol
_atom_site_fract_x
_atom_site_fract_y
_atom_site_fract_z
Li1 Li 0.000 0.000 0.000
Cd1 Cd 0.500 0.500 0.000
P1 P 0.750 0.250 0.500
O1 O 0.027 0.568 0.864
O2 O 0.432 0.296 0.459
O3 O 0.704 0.163 0.136
O4 O 0.837 0.973 0.541
```


2.
TmP2: optimized geometry, PBE.

Computed properties:
SG = Fd-3m, No. 227
Crystal system = cubic

```
data_TmP2
_cell_length_a 5.313
_cell_length_b 5.313
_cell_length_c 5.313
_cell_angle_alpha 60.00
_cell_angle_beta 60.00
_cell_angle_gamma 60.00
_space_group_name_H-M_alt 'P 1'
_space_group_IT_number 1
loop_
_space_group_symop_operation_xyz
'x,y,z'
loop_
_atom_site_label
_atom_site_type_symbol
_atom_site_fract_x
_atom_site_fract_y
_atom_site_fract_z
Tm1 Tm 0.125 0.125 0.125
Tm2 Tm 0.875 0.875 0.875
P1 P 0.000 0.500 0.500
P2 P 0.500 0.000 0.500
P3 P 0.500 0.500 0.000
P4 P 0.500 0.500 0.500
```


3.
ZnSn2Sb2: optimized geometry, PBE.

Computed properties:
SG = Cmc2_1, No. 36
Crystal system = orthorhombic

```
data_ZnSn2Sb2
_cell_length_a 8.849
_cell_length_b 8.849
_cell_length_c 6.935
_cell_angle_alpha 90.00
_cell_angle_beta 90.00
_cell_angle_gamma 149.58
_space_group_name_H-M_alt 'P 1'
_space_group_IT_number 1
loop_
_space_group_symop_operation_xyz
'x,y,z'
loop_
_atom_site_label
_atom_site_type_symbol
_atom_site_fract_x
_atom_site_fract_y
_atom_site_fract_z
Zn1 Zn 0.091 0.909 0.500
Zn2 Zn 0.909 0.091 0.000
Sn1 Sn 0.300 0.700 0.352
Sn2 Sn 0.479 0.521 0.672
Sn3 Sn 0.521 0.479 0.172
Sn4 Sn 0.700 0.300 0.852
Sb1 Sb 0.075 0.925 0.895
Sb2 Sb 0.327 0.673 0.911
Sb3 Sb 0.673 0.327 0.411
Sb4 Sb 0.925 0.075 0.395
```


4.
HfSnPt2: optimized geometry, PBE.

Computed properties:
SG = F-43m, No. 216
Crystal system = cubic

```
data_HfSnPt2
_cell_length_a 4.687
_cell_length_b 4.687
_cell_length_c 4.687
_cell_angle_alpha 60.00
_cell_angle_beta 60.00
_cell_angle_gamma 60.00
_space_group_name_H-M_alt 'P 1'
_space_group_IT_number 1
loop_
_space_group_symop_operation_xyz
'x,y,z'
loop_
_atom_site_label
_atom_site_type_symbol
_atom_site_fract_x
_atom_site_fract_y
_atom_site_fract_z
Hf1 Hf 0.000 0.000 0.000
Sn1 Sn 0.750 0.750 0.750
Pt1 Pt 0.250 0.250 0.250
Pt2 Pt 0.500 0.500 0.500
```


5.
CsGaMo: optimized geometry, PBE.

Computed properties:
SG = F-43m, No. 216
Excess energy over the best structure of this formula in the dataset = 63 meV per atom
Crystal system = cubic

```
data_CsGaMo
_cell_length_a 5.299
_cell_length_b 5.299
_cell_length_c 5.299
_cell_angle_alpha 60.00
_cell_angle_beta 60.00
_cell_angle_gamma 60.00
_space_group_name_H-M_alt 'P 1'
_space_group_IT_number 1
loop_
_space_group_symop_operation_xyz
'x,y,z'
loop_
_atom_site_label
_atom_site_type_symbol
_atom_site_fract_x
_atom_site_fract_y
_atom_site_fract_z
Cs1 Cs 0.000 0.000 0.000
Ga1 Ga 0.250 0.250 0.250
Mo1 Mo 0.500 0.500 0.500
```


6.
YMgOs2: optimized geometry, PBE.

Computed properties:
SG = F-43m, No. 216
Crystal system = cubic

```
data_YMgOs2
_cell_length_a 4.630
_cell_length_b 4.630
_cell_length_c 4.630
_cell_angle_alpha 60.00
_cell_angle_beta 60.00
_cell_angle_gamma 60.00
_space_group_name_H-M_alt 'P 1'
_space_group_IT_number 1
loop_
_space_group_symop_operation_xyz
'x,y,z'
loop_
_atom_site_label
_atom_site_type_symbol
_atom_site_fract_x
_atom_site_fract_y
_atom_site_fract_z
Y1 Y 0.000 0.000 0.000
Mg1 Mg 0.250 0.250 0.250
Os1 Os 0.500 0.500 0.500
Os2 Os 0.750 0.750 0.750
```


7.
ZnOs: optimized geometry, PBE.

Computed properties:
ΔH_f (0 K) = 188.7 meV/atom
SG = Pbcm, No. 57
Crystal system = orthorhombic

```
data_ZnOs
_cell_length_a 5.488
_cell_length_b 13.901
_cell_length_c 4.430
_cell_angle_alpha 90.00
_cell_angle_beta 90.00
_cell_angle_gamma 90.00
_space_group_name_H-M_alt 'P 1'
_space_group_IT_number 1
loop_
_space_group_symop_operation_xyz
'x,y,z'
loop_
_atom_site_label
_atom_site_type_symbol
_atom_site_fract_x
_atom_site_fract_y
_atom_site_fract_z
Zn1 Zn 0.123 0.194 0.250
Zn2 Zn 0.123 0.306 0.750
Zn3 Zn 0.125 0.640 0.750
Zn4 Zn 0.125 0.860 0.250
Zn5 Zn 0.373 0.140 0.750
Zn6 Zn 0.373 0.360 0.250
Zn7 Zn 0.627 0.640 0.750
Zn8 Zn 0.627 0.860 0.250
Zn9 Zn 0.875 0.140 0.750
Zn10 Zn 0.875 0.360 0.250
Zn11 Zn 0.877 0.694 0.250
Zn12 Zn 0.877 0.806 0.750
Os1 Os 0.131 0.527 0.250
Os2 Os 0.131 0.973 0.750
Os3 Os 0.376 0.695 0.250
Os4 Os 0.376 0.805 0.750
Os5 Os 0.378 0.031 0.250
Os6 Os 0.378 0.469 0.750
Os7 Os 0.622 0.531 0.250
Os8 Os 0.622 0.969 0.750
Os9 Os 0.624 0.195 0.250
Os10 Os 0.624 0.305 0.750
Os11 Os 0.869 0.027 0.250
Os12 Os 0.869 0.473 0.750
```


8.
Sc2NbZn: optimized geometry, PBE.

Computed properties:
ΔH_f (0 K) = 143.6 meV/atom
SG = F-43m, No. 216
Crystal system = cubic

```
data_Sc2NbZn
_cell_length_a 4.764
_cell_length_b 4.764
_cell_length_c 4.764
_cell_angle_alpha 60.00
_cell_angle_beta 60.00
_cell_angle_gamma 60.00
_space_group_name_H-M_alt 'P 1'
_space_group_IT_number 1
loop_
_space_group_symop_operation_xyz
'x,y,z'
loop_
_atom_site_label
_atom_site_type_symbol
_atom_site_fract_x
_atom_site_fract_y
_atom_site_fract_z
Sc1 Sc 0.000 0.000 0.000
Sc2 Sc 0.250 0.250 0.250
Nb1 Nb 0.750 0.750 0.750
Zn1 Zn 0.500 0.500 0.500
```


9.
ReGe: optimized geometry, PBE.

Computed properties:
SG = P6_3/mmc, No. 194
Crystal system = hexagonal

```
data_ReGe
_cell_length_a 3.931
_cell_length_b 3.931
_cell_length_c 5.176
_cell_angle_alpha 90.00
_cell_angle_beta 90.00
_cell_angle_gamma 120.00
_space_group_name_H-M_alt 'P 1'
_space_group_IT_number 1
loop_
_space_group_symop_operation_xyz
'x,y,z'
loop_
_atom_site_label
_atom_site_type_symbol
_atom_site_fract_x
_atom_site_fract_y
_atom_site_fract_z
Re1 Re 0.000 0.000 0.000
Re2 Re 0.000 0.000 0.500
Ge1 Ge 0.333 0.667 0.250
Ge2 Ge 0.667 0.333 0.750
```


10.
BiSbPt2: optimized geometry, PBE.

Computed properties:
SG = Pbcm, No. 57
Excess energy over the best structure of this formula in the dataset = 0 meV per atom
Crystal system = orthorhombic

```
data_BiSbPt2
_cell_length_a 8.665
_cell_length_b 7.456
_cell_length_c 5.570
_cell_angle_alpha 90.00
_cell_angle_beta 90.00
_cell_angle_gamma 90.00
_space_group_name_H-M_alt 'P 1'
_space_group_IT_number 1
loop_
_space_group_symop_operation_xyz
'x,y,z'
loop_
_atom_site_label
_atom_site_type_symbol
_atom_site_fract_x
_atom_site_fract_y
_atom_site_fract_z
Bi1 Bi 0.122 0.090 0.250
Bi2 Bi 0.122 0.410 0.750
Bi3 Bi 0.878 0.590 0.250
Bi4 Bi 0.878 0.910 0.750
Sb1 Sb 0.375 0.575 0.250
Sb2 Sb 0.375 0.925 0.750
Sb3 Sb 0.625 0.075 0.250
Sb4 Sb 0.625 0.425 0.750
Pt1 Pt 0.147 0.750 0.000
Pt2 Pt 0.147 0.750 0.500
Pt3 Pt 0.393 0.250 0.000
Pt4 Pt 0.393 0.250 0.500
Pt5 Pt 0.607 0.750 0.000
Pt6 Pt 0.607 0.750 0.500
Pt7 Pt 0.853 0.250 0.000
Pt8 Pt 0.853 0.250 0.500
```


| no. | final energy (eV per atom) |
| --- | --- |
| 1 | -6.05 |
| 2 | -5.29 |
| 3 | -3.44 |
| 4 | -7.04 |
| 5 | -3.27 |
| 6 | -7.30 |
| 7 | -6.06 |
| 8 | -5.86 |
| 9 | -8.06 |
| 10 | -5.43 |